The following is a DFT calculation (PBE-GGA) of an optimized crystal structure of ZnCo2Hg.

a = 2.9557 Å, b = 4.4322 Å, c = 8.7704 Å
α = 90.00°, β = 90.00°, γ = 90.00°
Space group Imm2 (No. 44)
Unique sites:
Zn (0.0000, 0.0000, 0.0000) [2 per cell]
Co (0.0000, 0.0000, 0.4592) [2 per cell]
Co (0.0000, 0.5000, 0.7459) [2 per cell]
Hg (0.0000, 0.5000, 0.2263) [2 per cell]

Output
**Mass density**: 11096 kg/m³
**Energy of formation**: 0.307 eV/atom